Compound: La5Tm4In4
Source: the Alexandria database
Functional: PBE
Structure: optimized geometry

Results
- total energy (eV per atom) = -4.420
- space-group type = I4/m
- V (Å³/f.u.) = 415.69
- formation enthalpy at 0 K (eV/atom) = -0.306
- size of the total moment (μB/cell) = 0.000

CIF file:
```
data_La5Tm4In4
_chemical_formula_sum 'La5 Tm4 In4'
_space_group_name_H-M_alt 'P 1'
_space_group_IT_number 1
_cell_length_a 5.033
_cell_length_b 9.430
_cell_length_c 9.430
_cell_angle_alpha 85.92
_cell_angle_beta 74.52
_cell_angle_gamma 74.52
loop_
_space_group_symop_operation_xyz
'x,y,z'
loop_
_atom_site_label
_atom_site_fract_x
_atom_site_fract_y
_atom_site_fract_z
Tm1 0.594 0.311 0.501
In1 0.244 0.669 0.843
Tm2 0.905 0.501 0.689
In2 0.913 0.843 0.331
La1 0.609 0.695 0.088
La2 0.697 0.912 0.695
La3 0.000 0.000 0.000
In3 0.087 0.157 0.669
La4 0.391 0.305 0.912
In4 0.756 0.331 0.157
La5 0.303 0.088 0.305
Tm3 0.406 0.689 0.499
Tm4 0.095 0.499 0.311
```